Entry 1:
VASP calculation (GGA-PBE) on a relaxed structure of NdBHRu.

a = 3.989 Å, b = 3.989 Å, c = 7.566 Å
α = 90.00°, β = 90.00°, γ = 90.00°
Sites, in units of the cell vectors:
Nd 0.500 0.000 0.687
Nd 0.000 0.500 0.313
B 0.000 0.500 0.902
B 0.500 0.000 0.098
H 0.000 0.000 0.500
H 0.500 0.500 0.500
Ru 0.500 0.500 0.000
Ru 0.000 0.000 0.000

Entry 2:
VASP calculation (GGA-PBE) on a relaxed structure of MgTcOs2.

a = 2.710 Å, b = 2.710 Å, c = 9.160 Å
α = 90.00°, β = 90.00°, γ = 115.46°
Sites, in units of the cell vectors:
Mg 0.500 0.500 0.752
Os 0.000 0.000 0.004
Os 0.500 0.500 0.252
Tc 0.000 0.000 0.492

Entry 3:
VASP calculation (GGA-PBE) on a relaxed structure of AcTbPmPr3.

a = 5.947 Å, b = 10.902 Å, c = 7.140 Å
α = 91.30°, β = 90.00°, γ = 105.83°
Sites, in units of the cell vectors:
Ac 0.352 0.704 0.966
Ac 0.648 0.296 0.034
Tb 0.642 0.285 0.490
Tb 0.358 0.715 0.510
Pm 0.056 0.112 0.283
Pm 0.944 0.888 0.717
Pr 0.840 0.680 0.254
Pr 0.781 0.563 0.725
Pr 0.484 0.967 0.255
Pr 0.219 0.437 0.275
Pr 0.516 0.033 0.745
Pr 0.160 0.320 0.746

no.,electronic total energy (eV/cell),theoretical density (g/cm³)
1,-52.22,7.1
2,-32.68,13.7
3,-53.41,7.1